Entry 1:
PBE NaSrBr2, optimized geometry; space-group type = R-3m (166); distance to the lowest polymorph of the same formula = 0.0000 eV per atom; raw formation energy = -1473 meV per atom
1.0
2.6029 0.0000 10.6074
-1.3014 2.2542 10.6074
-1.3014 -2.2542 10.6074
Sr Br Na
1 2 1
Direct
0.5000 0.5000 0.5000 Sr
0.8845 0.8845 0.8845 Br
0.1155 0.1155 0.1155 Br
0.0000 0.0000 0.0000 Na

Entry 2:
PBE NaSrBr, optimized geometry; space-group type = P4/nmm (129); distance to the lowest polymorph of the same formula = 0.0417 eV per atom; raw formation energy = -921 meV per atom
1.0
-2.4321 2.3538 -3.7615
-3.9602 0.7836 3.0508
4.0549 8.9342 2.9689
Br Na Sr
2 2 2
Direct
0.0000 0.0000 0.0000 Br
0.5000 0.5000 0.0000 Br
0.0000 0.5000 0.4269 Na
0.5000 0.0000 0.5731 Na
0.0000 0.5000 0.8186 Sr
0.5000 0.0000 0.1814 Sr

Entry 3:
PBE NaSrBr3, optimized geometry; space-group type = P-6 (174); distance to the lowest polymorph of the same formula = 0.0000 eV per atom; raw formation energy = -1835 meV per atom
1.0
-1.9165 3.5148 0.6059
-5.0240 -1.7084 -5.9827
-6.7901 -3.9591 1.4896
Na Sr Br
1 1 3
Direct
0.2201 0.4327 0.3959 Na
0.2202 0.0994 0.0622 Sr
0.7202 0.2854 0.7288 Br
0.7202 0.2470 0.2480 Br
0.7201 0.7660 0.2094 Br

Entry 4:
PBE Na3SrBr, optimized geometry; space-group type = Pm-3m (221); distance to the lowest polymorph of the same formula = 0.6800 eV per atom; raw formation energy = 304 meV per atom
1.0
7.1040 0.0000 0.0000
0.0000 7.1040 0.0000
0.0000 0.0000 7.1040
Sr Br Na
1 1 3
Direct
0.0000 0.0000 0.0000 Sr
0.5000 0.5000 0.5000 Br
0.0000 0.5000 0.0000 Na
0.0000 0.0000 0.5000 Na
0.5000 0.0000 0.0000 Na

Entry 5:
PBE NaSrBr3, optimized geometry; space-group type = Pm-3m (221); distance to the lowest polymorph of the same formula = 0.2832 eV per atom; raw formation energy = -1552 meV per atom
1.0
-2.8221 -3.4165 -3.0842
4.6003 -1.9760 -2.0203
0.1497 -3.6840 3.9440
Sr Br Na
1 3 1
Direct
0.5000 0.5000 0.5000 Sr
0.0000 0.5000 0.0000 Br
0.0000 0.0000 0.5000 Br
0.5000 0.0000 0.0000 Br
0.0000 0.0000 0.0000 Na

Entry 6:
PBE Na2Sr5Br12, optimized geometry; space-group type = C2/m (12); raw formation energy = -1952 meV per atom
1.0
8.6688 0.0000 0.0000
-4.3344 7.5693 -2.7712
0.0000 -0.2826 10.7544
Na Sr Br
2 5 12
Direct
0.7612 0.0000 0.0000 Na
0.2388 0.0000 0.0000 Na
0.3064 0.6128 0.6249 Sr
0.2773 0.5546 0.0506 Sr
0.0000 0.0000 0.5000 Sr
0.7227 0.4454 0.9494 Sr
0.6936 0.3872 0.3751 Sr
0.9279 0.8558 0.1638 Br
0.0772 0.6164 0.8566 Br
0.5391 0.6164 0.8566 Br
0.0908 0.7203 0.4881 Br
0.6295 0.7203 0.4881 Br
0.5170 0.0339 0.8166 Br
0.4830 0.9661 0.1834 Br
0.9092 0.2797 0.5119 Br
0.3705 0.2797 0.5119 Br
0.9228 0.3836 0.1434 Br
0.4609 0.3836 0.1434 Br
0.0721 0.1442 0.8362 Br